Compound: Al4CdAg
Source: Alexandria via LeMat-Bulk
Functional: PBEsol
Structure: optimized geometry

Electronic total energy in eV/atom: -3.261
ΔE_f in meV/atom: 218

a b c (Å): 5.366 5.366 5.366
angles (deg): 60.00 60.00 60.00
Sites, in units of the cell vectors:
Al 0.375 0.375 0.375
Al 0.375 0.375 0.875
Al 0.875 0.375 0.375
Al 0.375 0.875 0.375
Ag 0.000 0.000 0.000
Cd 0.750 0.750 0.750

---

Compound: Tl3PtN
Source: Alexandria via LeMat-Bulk
Functional: PBEsol
Structure: optimized geometry

E_form (uncorrected) in eV per atom: 0.787
Electronic total energy in eV/atom: -3.889

a b c (Å): 4.717 4.717 4.717
angles (deg): 90.00 90.00 90.00
Sites, in units of the cell vectors:
Tl 0.000 0.500 0.000
Tl 0.000 0.000 0.500
Tl 0.500 0.000 0.000
Pt 0.500 0.500 0.500
N 0.000 0.000 0.000

---

Compound: Li2ZnPt
Source: Alexandria via LeMat-Bulk
Functional: PBEsol
Structure: optimized geometry

Electronic total energy in eV/atom: -3.562
ΔE_f in meV/atom: -442

a b c (Å): 2.886 4.275 4.363
angles (deg): 90.00 90.00 90.00
Sites, in units of the cell vectors:
Zn 0.000 0.500 0.500
Pt 0.500 0.000 0.500
Li 0.000 0.000 0.000
Li 0.500 0.500 0.000

---

Compound: Dy3CuSnSe7
Source: Alexandria via LeMat-Bulk
Functional: PBEsol
Structure: optimized geometry

E_form (uncorrected) in eV per atom: -1.279
Electronic total energy in eV/atom: -5.486

a b c (Å): 6.237 10.131 10.131
angles (deg): 120.00 90.00 90.00
Sites, in units of the cell vectors:
Dy 0.099 0.854 0.644
Dy 0.599 0.644 0.789
Dy 0.599 0.211 0.854
Dy 0.099 0.789 0.146
Dy 0.099 0.356 0.211
Dy 0.599 0.146 0.356
Cu 0.521 0.000 0.000
Cu 0.021 0.000 0.000
Sn 0.172 0.333 0.667
Sn 0.672 0.667 0.333
Se 0.546 0.888 0.735
Se 0.046 0.735 0.847
Se 0.046 0.153 0.888
Se 0.546 0.847 0.112
Se 0.546 0.265 0.153
Se 0.046 0.112 0.265
Se 0.855 0.562 0.486
Se 0.355 0.486 0.924
Se 0.355 0.076 0.562
Se 0.855 0.924 0.438
Se 0.855 0.514 0.076
Se 0.355 0.438 0.514
Se 0.770 0.333 0.667
Se 0.270 0.667 0.333

---

Compound: MgSn2O5
Source: Alexandria via LeMat-Bulk
Functional: PBEsol
Structure: optimized geometry

E_form (uncorrected) in eV per atom: -1.917
Electronic total energy in eV/atom: -6.477

a b c (Å): 3.960 5.555 10.208
angles (deg): 90.00 90.00 110.88
Sites, in units of the cell vectors:
Mg 0.811 0.623 0.750
Mg 0.189 0.377 0.250
Sn 0.136 0.271 0.934
Sn 0.864 0.729 0.066
Sn 0.864 0.729 0.434
Sn 0.136 0.271 0.566
O 0.774 0.547 0.250
O 0.226 0.453 0.750
O 0.304 0.609 0.435
O 0.696 0.391 0.565
O 0.696 0.391 0.935
O 0.304 0.609 0.065
O 0.949 0.898 0.884
O 0.051 0.102 0.116
O 0.949 0.898 0.616
O 0.051 0.102 0.384

---

Compound: GeBi4Te7
Source: Alexandria via LeMat-Bulk
Functional: PBEsol
Structure: optimized geometry

E_form (uncorrected) in eV per atom: -0.199
Electronic total energy in eV/atom: -4.096

a b c (Å): 4.343 4.343 23.665
angles (deg): 90.00 90.00 120.00
Sites, in units of the cell vectors:
Ge 0.000 0.000 0.000
Bi 0.667 0.333 0.155
Bi 0.333 0.667 0.586
Bi 0.667 0.333 0.414
Bi 0.333 0.667 0.845
Te 0.333 0.667 0.068
Te 0.000 0.000 0.500
Te 0.000 0.000 0.229
Te 0.000 0.000 0.771
Te 0.667 0.333 0.932
Te 0.667 0.333 0.660
Te 0.333 0.667 0.340

---

Compound: KCo2Hg
Source: Alexandria via LeMat-Bulk
Functional: PBEsol
Structure: optimized geometry

Electronic total energy in eV/atom: -3.290
ΔE_f in meV/atom: 1003

a b c (Å): 2.871 2.871 9.990
angles (deg): 81.74 81.74 60.00
Site moments in Bohr magnetons follow the coordinates.
Sites, in units of the cell vectors:
Co 0.240 0.240 0.279  1.71
Co 0.760 0.760 0.721  1.71
Hg 0.500 0.500 0.500  -0.04
K 0.000 0.000 0.000  -0.04

---

Compound: K2CaTcTe
Source: Alexandria via LeMat-Bulk
Functional: PBEsol
Structure: optimized geometry

E_form (uncorrected) in eV per atom: 1.049
Electronic total energy in eV/atom: -2.789

a b c (Å): 4.937 6.219 6.219
angles (deg): 90.00 90.00 90.00
Site moments in Bohr magnetons follow the coordinates.
Sites, in units of the cell vectors:
K 0.000 0.000 0.500  0.00
K 0.000 0.500 0.000  0.00
Ca 0.000 0.000 0.000  -0.03
Te 0.500 0.500 0.500  0.08
Tc 0.500 0.000 0.000  2.29

---

- Number 8 is which compound?
  K2CaTcTe